No. 1
A geometry-optimized Y3PtAu2 structure. Source: the Alexandria database, functional GGA-PBE.

As for the total magnetization: 0.000 μB per formula unit. The density of states at the Fermi level comes out at 4.18 states/eV/cell. As for the formation energy: -564 kJ/mol of formula units.

The structure belongs to space group P4/mmm (No. 123); the cell edges are 3.5610, 3.5610 and 10.8014 Å and the angles 90.00°, 90.00° and 90.00°. Symmetry generates all atoms from Y at (0.0000, 0.0000, 0.0000), Y at (0.0000, 0.0000, 0.3411), Pt at (0.5000, 0.5000, 0.5000) and Au at (0.5000, 0.5000, 0.1680).

=====

No. 2
A geometry-optimized Y2PtAu structure. Source: the Alexandria database, functional GGA-PBE.

As for the total magnetization: 0.000 μB per formula unit. The density of states at the Fermi level comes out at 1.85 states/eV/cell. As for the formation energy: -360 kJ/mol of formula units.

The structure belongs to space group P4mm (No. 99); the cell edges are 4.1097, 4.1097 and 5.9032 Å and the angles 90.00°, 90.00° and 90.00°. Symmetry generates all atoms from Y at (0.0000, 0.0000, 0.0000), Y at (0.5000, 0.5000, 0.4320), Pt at (0.5000, 0.5000, 0.9455) and Au at (0.0000, 0.0000, 0.5054).

=====

No. 3
A geometry-optimized YPtAu structure. Source: the Alexandria database, functional GGA-PBE.

As for the total magnetization: 0.000 μB per formula unit. The density of states at the Fermi level comes out at 5.75 states/eV/cell. As for the formation energy: -279 kJ/mol of formula units.

The structure belongs to space group Cmcm (No. 63); the cell edges are 3.6788, 17.5440 and 3.9314 Å and the angles 90.00°, 90.00° and 90.00°. Symmetry generates all atoms from Y at (0.0000, 0.1135, 0.2500), Pt at (0.0000, 0.4479, 0.2500) and Au at (0.0000, 0.2883, 0.2500).

=====

No. 4
A geometry-optimized YPt4Au structure. Source: the Alexandria database, functional GGA-PBE.

As for the total magnetization: 0.000 μB per formula unit. The density of states at the Fermi level comes out at 16.78 states/eV/cell. As for the formation energy: -417 kJ/mol of formula units.

The structure belongs to space group F-43m (No. 216); the cell edges are 7.5777, 7.5777 and 7.5777 Å and the angles 90.00°, 90.00° and 90.00°. Symmetry generates all atoms from Y at (0.0000, 0.0000, 0.0000), Pt at (0.1245, 0.1245, 0.3755) and Au at (0.2500, 0.2500, 0.7500).

=====

No. 5
A geometry-optimized Y2PtAu structure. Source: the Alexandria database, functional GGA-PBE.

As for the total magnetization: 0.000 μB per formula unit. The density of states at the Fermi level comes out at 4.17 states/eV/cell. As for the formation energy: -419 kJ/mol of formula units.

The structure belongs to space group P2_1/m (No. 11); the cell edges are 5.7002, 4.6058 and 7.5601 Å and the angles 90.00°, 109.79° and 90.00°. Symmetry generates all atoms from Y at (0.2166, 0.2500, 0.4345), Y at (0.2320, 0.2500, 0.9268), Pt at (0.3287, 0.7500, 0.7068) and Au at (0.3205, 0.7500, 0.2075).

=====

No. 6
A geometry-optimized Y2PtAu structure. Source: the Alexandria database, functional GGA-PBE.

As for the total magnetization: 0.000 μB per formula unit. The density of states at the Fermi level comes out at 3.84 states/eV/cell. As for the formation energy: 63 kJ/mol of formula units.

The structure belongs to space group Immm (No. 71); the cell edges are 3.1948, 5.4505 and 11.1123 Å and the angles 90.00°, 90.00° and 90.00°. Symmetry generates all atoms from Y at (0.0000, 0.0000, 0.2411), Pt at (0.0000, 0.0000, 0.0000) and Au at (0.0000, 0.0000, 0.5000).

=====

No. 7
A geometry-optimized YPtAu structure. Source: the Alexandria database, functional GGA-PBE.

As for the total magnetization: 0.000 μB per formula unit. The density of states at the Fermi level comes out at 2.60 states/eV/cell. As for the formation energy: -269 kJ/mol of formula units.

The structure belongs to space group I4mm (No. 107); the cell edges are 3.6899, 3.6899 and 9.0403 Å and the angles 90.00°, 90.00° and 90.00°. Symmetry generates all atoms from Y at (0.0000, 0.0000, 0.0000), Pt at (0.0000, 0.0000, 0.6556) and Au at (0.0000, 0.0000, 0.3275).

=====

No. 8
A geometry-optimized Y2PtAu structure. Source: the Alexandria database, functional GGA-PBE.

As for the total magnetization: 0.000 μB per formula unit. The density of states at the Fermi level comes out at 7.90 states/eV/cell. As for the formation energy: -366 kJ/mol of formula units.

The structure belongs to space group R3m (No. 160, hexagonal axes); the cell edges are 4.0921, 4.0921 and 21.0660 Å and the angles 90.00°, 90.00° and 120.00°. Symmetry generates all atoms from Y at (0.0000, 0.0000, 0.0000), Y at (0.0000, 0.0000, 0.1824), Pt at (0.0000, 0.0000, 0.5920) and Au at (0.0000, 0.0000, 0.7568).

=====

No. 9
A geometry-optimized YPtAu3 structure. Source: the Alexandria database, functional GGA-PBE.

As for the total magnetization: 0.000 μB per formula unit. The density of states at the Fermi level comes out at 11.18 states/eV/cell. For the excess energy over the best structure of this formula in the dataset, the calculation gives 0.00 eV/f.u. As for the formation energy: -127 kJ/mol of formula units.

The structure belongs to space group I-4m2 (No. 119); the cell edges are 5.2019, 5.2019 and 18.6874 Å and the angles 90.00°, 90.00° and 90.00°. Symmetry generates all atoms from Y at (0.0000, 0.0000, 0.1742), Pt at (0.0000, 0.0000, 0.5000), Pt at (0.0000, 0.5000, 0.7500), Au at (0.0000, 0.2490, 0.6233) and Au at (0.0000, 0.5000, 0.0762).

=====

No. 10
A geometry-optimized Y6PtAu5 structure. Source: the Alexandria database, functional GGA-PBE.

As for the total magnetization: 0.000 μB per formula unit. The density of states at the Fermi level comes out at 10.31 states/eV/cell. As for the formation energy: -1065 kJ/mol of formula units.

The structure belongs to space group C2/m (No. 12); the cell edges are 16.0263, 7.1858 and 5.0719 Å and the angles 90.00°, 108.11° and 90.00°. Symmetry generates all atoms from Y at (0.0000, 0.2432, 0.0000), Y at (0.1633, 0.2463, 0.6631), Pt at (0.0000, 0.0000, 0.5000), Au at (0.0000, 0.5000, 0.5000), Au at (0.1657, 0.5000, 0.1653) and Au at (0.1726, 0.0000, 0.1724).

=====

No. 11
A geometry-optimized Y2PtAu structure. Source: the Alexandria database, functional GGA-PBE.

As for the total magnetization: 0.000 μB per formula unit. The density of states at the Fermi level comes out at 2.96 states/eV/cell. As for the formation energy: -394 kJ/mol of formula units.

The structure belongs to space group Pmm2 (No. 25); the cell edges are 3.5527, 5.0283 and 5.0285 Å and the angles 90.00°, 90.00° and 90.00°. Symmetry generates all atoms from Y at (0.0000, 0.0000, 0.0000), Y at (0.0000, 0.5000, 0.4996), Pt at (0.5000, 0.0000, 0.5008) and Au at (0.5000, 0.5000, 0.9992).

=====

No. 12
A geometry-optimized Y2Pt5Au structure. Source: the Alexandria database, functional GGA-PBE.

As for the total magnetization: 0.000 μB per formula unit. The density of states at the Fermi level comes out at 7.18 states/eV/cell. As for the formation energy: -748 kJ/mol of formula units.

The structure belongs to space group Pbam (No. 55); the cell edges are 5.8736, 11.7343 and 4.1614 Å and the angles 90.00°, 90.00° and 90.00°. Symmetry generates all atoms from Y at (0.2401, 0.1287, 0.0000), Pt at (0.0000, 0.0000, 0.5000), Pt at (0.0080, 0.7512, 0.5000), Pt at (0.2468, 0.3759, 0.0000) and Au at (0.0000, 0.5000, 0.5000).